1.
Entry from Alexandria via LeMat-Bulk: crystalline Sc5Zn4Pt at its relaxed geometry (PBE).

Cell and atoms, written as extended XYZ:
```
10
Lattice="-0.145 0.212 3.339 0.402 -3.317 0.228 16.426 2.032 0.583" Properties=species:S:1:pos:R:3 pbc="T T T"
Zn 6.550 0.810 0.233
Zn 13.153 1.627 0.467
Zn 3.274 0.405 0.116
Zn 9.876 1.222 0.351
Sc 8.342 -0.537 2.075
Sc 5.016 -0.948 1.957
Sc 14.964 0.283 2.310
Sc 11.668 -0.125 2.193
Sc 1.720 -1.356 1.840
Pt 0.000 0.000 0.000
```

The symmetry is P4/mmm, No. 123.

2.
Entry from Alexandria via LeMat-Bulk: crystalline Sc4Zn2Pt at its relaxed geometry (PBE).

Cell and atoms, written as extended XYZ:
```
7
Lattice="-3.463 2.532 -1.816 -1.055 -0.399 -4.520 -6.404 -4.817 -0.480" Properties=species:S:1:pos:R:3 pbc="T T T"
Zn -2.738 -0.680 -1.701
Zn -8.184 -2.004 -5.114
Sc -7.266 -3.379 -2.806
Sc -6.373 0.039 -5.717
Sc -3.656 0.695 -4.009
Sc -4.549 -2.723 -1.098
Pt 0.000 0.000 0.000
```

The symmetry is R-3m, No. 166.

3.
Entry from Alexandria via LeMat-Bulk: crystalline Sc8ZnPt2 at its relaxed geometry (PBE).

Cell and atoms, written as extended XYZ:
```
11
Lattice="-3.247 1.870 2.656 -0.945 -6.422 3.368 6.879 4.002 1.621" Properties=species:S:1:pos:R:3 pbc="T T T"
Sc 2.983 1.457 6.593
Sc -0.698 -3.109 5.308
Sc 1.388 -1.019 6.387
Sc -0.295 -2.006 1.052
Sc -0.282 -0.284 3.827
Sc 3.385 2.559 2.337
Sc 1.299 0.469 1.259
Sc 2.970 -0.266 3.819
Zn -1.624 0.935 1.328
Pt 1.411 2.030 4.267
Pt 1.276 -2.580 3.378
```

The symmetry is Immm, No. 71.

4.
Entry from Alexandria via LeMat-Bulk: crystalline Sc2ZnPt9 at its relaxed geometry (PBE).

Cell and atoms, written as extended XYZ:
```
12
Lattice="-2.207 3.313 0.289 -1.605 -1.365 3.390 8.681 5.240 6.221" Properties=species:S:1:pos:R:3 pbc="T T T"
Pt 3.538 1.938 4.805
Pt -1.906 0.974 1.839
Pt 0.308 2.509 1.156
Pt 6.166 6.044 5.353
Pt 3.897 4.477 5.998
Pt 6.466 3.705 6.904
Pt 3.237 4.277 3.255
Pt 0.609 0.170 2.707
Pt 0.971 2.711 3.901
Zn 0.000 0.000 0.000
Sc 5.819 3.513 4.170
Sc 2.862 1.728 2.051
```

The symmetry is P4/mmm, No. 123.

5.
Entry from Alexandria via LeMat-Bulk: crystalline Sc3Zn3Pt2 at its relaxed geometry (PBE).

Cell and atoms, written as extended XYZ:
```
8
Lattice="-1.854 -2.586 1.406 4.086 -4.686 -3.234 1.679 2.280 6.410" Properties=species:S:1:pos:R:3 pbc="T T T"
Zn 4.469 -1.865 2.463
Zn 0.377 0.512 1.440
Zn 0.918 -1.053 -0.727
Pt 3.283 -2.364 -0.019
Pt 2.481 -0.042 3.195
Sc 1.440 -2.280 2.007
Sc 1.482 -4.055 -1.203
Sc 0.063 0.051 4.481
```

The symmetry is P-62m, No. 189.

6.
Entry from Alexandria via LeMat-Bulk: crystalline ScZnPt2 at its relaxed geometry (PBE).

Cell and atoms, written as extended XYZ:
```
4
Lattice="-5.315 6.339 3.755 -6.774 3.921 4.613 -4.484 4.903 6.196" Properties=species:S:1:pos:R:3 pbc="T T T"
Pt -4.111 3.762 3.613
Pt -0.071 0.065 0.062
Zn -12.358 11.307 10.860
Sc -8.319 7.611 7.310
```

The symmetry is R3m, No. 160.

7.
Entry from Alexandria via LeMat-Bulk: crystalline ScZn4Pt2 at its relaxed geometry (PBE).

Cell and atoms, written as extended XYZ:
```
14
Lattice="4.323 0.000 0.000 0.000 7.297 0.000 0.000 0.000 7.297" Properties=species:S:1:pos:R:3 pbc="T T T"
Zn 0.000 6.497 4.663
Zn 0.000 4.663 6.497
Zn 0.000 2.634 0.800
Zn 2.162 4.448 1.015
Zn 0.000 0.800 2.634
Zn 2.162 6.282 2.849
Zn 2.162 2.849 6.282
Zn 2.162 1.015 4.448
Pt 2.162 2.138 2.138
Pt 2.162 5.159 5.159
Pt 0.000 1.511 5.786
Pt 0.000 5.786 1.511
Sc 0.000 3.649 3.649
Sc 2.162 0.000 0.000
```

The symmetry is P4_2/mnm, No. 136.

8.
Entry from Alexandria via LeMat-Bulk: crystalline ScZn2Pt2 at its relaxed geometry (PBE).

Cell and atoms, written as extended XYZ:
```
10
Lattice="-3.957 -0.209 -2.404 -0.943 -4.360 1.930 -3.874 0.960 6.293" Properties=species:S:1:pos:R:3 pbc="T T T"
Zn -4.381 -2.465 5.190
Zn -6.951 -1.238 4.845
Zn -1.823 -2.371 0.973
Zn -4.393 -1.144 0.628
Sc -5.761 0.185 2.764
Sc -3.013 -3.794 3.054
Pt -5.630 -2.584 2.788
Pt -4.596 0.180 5.315
Pt -3.144 -1.025 3.030
Pt -4.178 -3.789 0.503
```

The symmetry is P2_1/m, No. 11. The calculation puts the offset from the most stable computed form at 0 meV/atom.

9.
Entry from Alexandria via LeMat-Bulk: crystalline Sc3Zn2Pt3 at its relaxed geometry (PBE).

Cell and atoms, written as extended XYZ:
```
16
Lattice="5.299 0.000 0.000 0.000 6.893 -3.980 0.000 0.000 7.960" Properties=species:S:1:pos:R:3 pbc="T T T"
Pt 1.325 2.649 -1.530
Pt 3.974 2.649 1.530
Pt 1.325 4.244 2.450
Pt 3.974 4.244 -2.450
Pt 1.325 0.000 3.059
Pt 3.974 0.000 4.900
Sc 3.974 0.000 2.154
Sc 1.325 1.866 1.077
Sc 1.325 5.028 -2.903
Sc 3.974 5.028 2.903
Sc 1.325 0.000 5.805
Sc 3.974 1.866 -1.077
Zn 0.000 4.595 0.000
Zn 2.649 4.595 0.000
Zn 0.000 2.298 3.980
Zn 2.649 2.298 3.980
```

The symmetry is P6_3/mcm, No. 193.

10.
Entry from Alexandria via LeMat-Bulk: crystalline ScZn2Pt at its relaxed geometry (PBE).

Cell and atoms, written as extended XYZ:
```
4
Lattice="3.407 0.000 0.000 0.000 3.264 0.010 0.000 3.259 6.026" Properties=species:S:1:pos:R:3 pbc="T T T"
Zn 0.000 3.262 0.185
Zn 1.704 1.631 1.476
Sc 1.704 4.892 4.421
Pt 0.000 3.263 2.983
```

The symmetry is Pm, No. 6.

11.
Entry from Alexandria via LeMat-Bulk: crystalline ScZn2Pt3 at its relaxed geometry (PBE).

Cell and atoms, written as extended XYZ:
```
6
Lattice="-1.825 1.804 1.469 0.167 -1.761 2.369 8.371 5.577 3.554" Properties=species:S:1:pos:R:3 pbc="T T T"
Pt 2.687 1.790 1.141
Pt 5.684 3.787 2.413
Pt 0.000 0.000 0.000
Zn 0.490 0.900 2.479
Zn 6.223 4.720 4.914
Sc 3.357 2.810 3.696
```

The symmetry is P4/mmm, No. 123.

12.
Entry from Alexandria via LeMat-Bulk: crystalline ScZnPt2 at its relaxed geometry (PBE).

Cell and atoms, written as extended XYZ:
```
4
Lattice="5.098 0.001 -0.008 2.168 4.614 0.008 -3.628 -2.316 2.732" Properties=species:S:1:pos:R:3 pbc="T T T"
Pt 2.551 -0.004 1.362
Pt 0.000 0.000 0.000
Sc 3.633 2.307 0.000
Zn 1.087 2.303 1.370
```

The symmetry is I-4m2, No. 119.

Number 1: DFT formation energy -558 meV/atom. Number 2: DFT formation energy -465 meV/atom. Number 3: DFT formation energy -483 meV/atom. Number 4: DFT formation energy -820 meV/atom. Number 5: DFT formation energy -766 meV/atom. Number 6: DFT formation energy -365 meV/atom. Number 7: DFT formation energy -562 meV/atom. Number 8: DFT formation energy -778 meV/atom. Number 9: DFT formation energy -943 meV/atom. Number 10: DFT formation energy -578 meV/atom. Number 11: DFT formation energy -779 meV/atom. Number 12: DFT formation energy -929 meV/atom.